A geometry-optimized AgIr2Au structure. Source: Alexandria, functional GGA-PBE.

Computed properties:
Offset from the most stable computed form (meV per atom): 240.3
E_tot (eV/atom): -5.54
Total magnetization (μB/atom): 0.000
Formation energy from the elements (kJ/mol of atoms): 40.7

Unit cell a=2.754 b=4.798 c=4.926 alpha=90.00 beta=90.00 gamma=90.00
Positions (direct):
Au1 0.000 0.500 0.500
Ir1 0.000 0.000 0.000
Ir2 0.500 0.500 0.000
Ag1 0.500 0.000 0.500



A geometry-optimized Nd8Y5Ho structure. Source: Alexandria, functional GGA-PBE.

Computed properties:
E_tot (eV/atom): -5.10
Total magnetization (μB/atom): 0.000
Formation energy from the elements (kJ/mol of atoms): 24.8

Unit cell a=8.616 b=8.616 c=8.616 alpha=111.02 beta=106.42 gamma=111.02
Positions (direct):
Nd1 0.735 0.262 0.338
Nd2 0.569 0.913 0.839
Y1 0.500 0.000 0.500
Nd3 0.076 0.738 0.473
Ho1 0.250 0.500 0.750
Y2 0.815 0.687 0.722
Nd4 0.926 0.087 0.656
Nd5 0.527 0.603 0.265
Nd6 0.161 0.729 0.074
Y3 0.871 0.906 0.185
Nd7 0.344 0.271 0.431
Y4 0.278 0.094 0.965
Y5 0.035 0.313 0.129
Nd8 0.662 0.397 0.924



A geometry-optimized TbZn2In structure. Source: Alexandria, functional GGA-PBE.

Computed properties:
E_tot (eV/atom): -2.59
Total magnetization (μB/atom): 0.000
Formation energy from the elements (kJ/mol of atoms): -10.8

Unit cell a=4.456 b=5.406 c=4.613 alpha=125.87 beta=90.00 gamma=90.00
Positions (direct):
Tb1 0.500 0.817 0.634
Zn1 0.500 0.225 0.451
In1 0.000 0.471 0.943
Zn2 0.000 0.089 0.179



A geometry-optimized Y4AlTeSe2 structure. Source: Alexandria, functional GGA-PBE.

Computed properties:
E_tot (eV/atom): -6.26
Total magnetization (μB/atom): 0.000
Energy relative to the elements, uncorrected (eV/atom): -1.2935

Unit cell a=4.080 b=7.356 c=7.407 alpha=71.66 beta=90.00 gamma=90.00
Positions (direct):
Y1 0.500 0.245 0.744
Y2 0.000 0.761 0.729
Y3 0.000 0.239 0.271
Al1 0.000 0.500 0.500
Te1 0.500 0.500 0.000
Se1 0.500 0.000 0.500
Se2 0.000 0.000 0.000
Y4 0.500 0.755 0.256



A geometry-optimized SrW2Br structure. Source: Alexandria, functional GGA-PBE.

Computed properties:
Offset from the most stable computed form (meV per atom): 1264.9
E_tot (eV/atom): -5.82
Total magnetization (μB/atom): 0.000
Energy relative to the elements, uncorrected (eV/atom): 1.4968

Unit cell a=2.936 b=2.936 c=9.608 alpha=90.00 beta=90.00 gamma=90.00
Positions (direct):
W1 0.000 0.000 0.466
Sr1 0.500 0.500 0.750
W2 0.000 0.000 0.034
Br1 0.500 0.500 0.250



A geometry-optimized ZrAgP2O8 structure. Source: Alexandria, functional GGA-PBE.

Computed properties:
E_tot (eV/atom): -7.23
Total magnetization (μB/atom): 0.090
Energy relative to the elements, uncorrected (eV/atom): -2.0774

Unit cell a=5.386 b=5.386 c=6.793 alpha=90.00 beta=90.00 gamma=120.00
Positions (direct):
O1 0.355 0.180 0.313
O2 0.175 0.355 0.687
O3 0.825 0.645 0.313
O4 0.180 0.825 0.687
Ag1 0.000 0.000 0.000
O5 0.645 0.820 0.687
P1 0.333 0.667 0.768
P2 0.667 0.333 0.232
O6 0.333 0.667 0.993
Zr1 0.000 0.000 0.500
O7 0.667 0.333 0.007
O8 0.820 0.175 0.313



Number 1: theoretical density 17.6 Mg/m³. Number 2: theoretical density 6.0 Mg/m³. Number 3: theoretical density 7.5 Mg/m³. Number 4: theoretical density 5.3 Mg/m³. Number 5: theoretical density 10.7 Mg/m³. Number 6: theoretical density 3.8 Mg/m³.